w.
First-principles (PBE-GGA) data for a geometry-optimized PmNd4In structure, as listed in Alexandria.

The structure in POSCAR format:
```
PmNd4In
1.0
-5.8444 5.8444 3.4461
5.8444 -5.8444 3.4461
5.8444 5.8444 -3.4461
Pm Nd In
2 8 2
Cartesian
0.0000 0.0000 0.0000 Pm
0.0000 5.8444 1.7231 Pm
0.0000 2.7136 1.4133 Nd
2.8063 5.8444 -0.3651 Nd
3.0381 0.0000 3.0810 Nd
5.8444 3.0381 1.3580 Nd
0.0000 2.8063 4.8041 Nd
-2.7136 5.8444 3.1363 Nd
2.7136 5.8444 3.1363 Nd
0.0000 8.9752 1.4133 Nd
5.8444 0.0000 1.6703 In
0.0000 0.0000 3.3934 In
```

x.
First-principles (PBE-GGA) data for a geometry-optimized PmNd4In structure, as listed in Alexandria.

The structure in POSCAR format:
```
PmNd4In
1.0
4.2195 0.0000 0.0000
0.0000 4.2195 0.0000
0.0000 0.0000 11.0643
Pm Nd In
1 4 1
Cartesian
0.0000 0.0000 0.0000 Pm
0.0000 0.0000 3.8931 Nd
0.0000 0.0000 7.1713 Nd
2.1097 2.1097 1.8749 Nd
2.1097 2.1097 9.1894 Nd
2.1097 2.1097 5.5322 In
```

Tell me which of them is the least stable. Sure, it is w.

w.
First-principles (PBE-GGA) data for a geometry-optimized Pm3Nd3In2 structure, as listed in Alexandria.

The structure in POSCAR format:
```
Pm3Nd3In2
1.0
2.6906 -6.1322 0.0000
2.6906 6.1322 0.0000
0.0000 0.0000 15.8968
Pm Nd In
6 6 4
Cartesian
2.6906 5.5846 11.9226 Pm
2.6906 4.4028 0.4515 Pm
2.6906 4.4028 7.4969 Pm
2.6906 -4.4028 8.3999 Pm
2.6906 -4.4028 15.4453 Pm
2.6906 -5.5846 3.9742 Pm
2.6906 3.2520 3.9742 Nd
2.6906 0.4769 1.6913 Nd
2.6906 0.4769 6.2571 Nd
2.6906 -0.4769 9.6397 Nd
2.6906 -0.4769 14.2055 Nd
2.6906 -3.2520 11.9226 Nd
2.6906 2.7219 10.2096 In
2.6906 2.7219 13.6355 In
2.6906 -2.7219 2.2613 In
2.6906 -2.7219 5.6871 In
```

x.
First-principles (PBE-GGA) data for a geometry-optimized Pm3Nd3In2 structure, as listed in Alexandria.

The structure in POSCAR format:
```
Pm3Nd3In2
1.0
4.9624 0.0000 0.0000
0.0000 4.9733 0.0000
0.0000 0.0000 9.9649
Pm Nd In
3 3 2
Cartesian
0.0000 0.0000 0.0000 Pm
0.0000 2.4866 2.4882 Pm
0.0000 2.4866 7.4767 Pm
0.0000 0.0000 4.9824 Nd
2.4812 2.4866 0.0000 Nd
2.4812 2.4866 4.9824 Nd
2.4812 0.0000 2.4816 In
2.4812 0.0000 7.4833 In
```

Tell me which of them is the least stable. Sure, it is w.

w.
First-principles (PBE-GGA) data for a geometry-optimized Pm2Nd6In structure, as listed in Alexandria.

The structure in POSCAR format:
```
Pm2Nd6In
1.0
10.6378 -4.7115 0.0000
10.6378 4.7115 0.0000
-1.8577 0.0000 6.0093
Pm Nd In
4 12 2
Cartesian
5.2200 0.7532 0.3261 Pm
4.2912 -0.7532 3.3308 Pm
15.1267 0.7532 2.6786 Pm
14.1978 -0.7532 5.6832 Pm
0.2842 0.6828 4.3431 Nd
5.9997 2.3552 3.5017 Nd
1.2130 -0.6828 1.3384 Nd
8.8855 0.6771 0.4130 Nd
12.4893 2.3552 5.5123 Nd
7.9566 -0.6771 3.4177 Nd
11.4613 0.6771 2.5917 Nd
6.9286 -2.3552 0.4970 Nd
10.5324 -0.6771 5.5964 Nd
18.2048 0.6828 4.6709 Nd
13.4182 -2.3552 2.5076 Nd
19.1337 -0.6828 1.6662 Nd
9.2445 2.3601 4.5070 In
10.1734 -2.3601 1.5023 In
```

x.
First-principles (PBE-GGA) data for a geometry-optimized Pm2Nd6In structure, as listed in Alexandria.

The structure in POSCAR format:
```
Pm2Nd6In
1.0
10.9306 0.0000 0.0000
0.0000 10.9306 0.0000
0.0000 0.0000 5.0463
Pm Nd In
4 12 2
Cartesian
1.7542 1.7542 0.0000 Pm
3.7111 7.2194 2.5231 Pm
7.2194 3.7111 2.5231 Pm
9.1764 9.1764 0.0000 Pm
0.0009 3.6359 2.5231 Nd
10.9296 7.2947 2.5231 Nd
1.7524 9.1782 0.0000 Nd
1.8294 5.4662 0.0000 Nd
3.6359 0.0009 2.5231 Nd
3.7129 3.7129 2.5231 Nd
5.4662 1.8294 0.0000 Nd
5.4644 9.1012 0.0000 Nd
7.2176 7.2176 2.5231 Nd
7.2947 10.9296 2.5231 Nd
9.1012 5.4644 0.0000 Nd
9.1782 1.7524 0.0000 Nd
0.0000 0.0000 2.5231 In
5.4653 5.4653 0.0000 In
```

Tell me which of them is the least stable. Sure, it is w.

w.
First-principles (PBE-GGA) data for a geometry-optimized PmNd3In structure, as listed in Alexandria.

The structure in POSCAR format:
```
PmNd3In
1.0
2.4665 -13.0155 0.0000
2.4665 13.0155 0.0000
0.0000 0.0000 4.9359
Pm Nd In
2 6 2
Cartesian
2.4665 9.0672 3.7019 Pm
2.4665 -9.0672 1.2340 Pm
2.4665 11.6032 1.2340 Nd
2.4665 6.5223 1.2340 Nd
2.4665 1.3837 1.2340 Nd
2.4665 -1.3837 3.7019 Nd
2.4665 -6.5223 3.7019 Nd
2.4665 -11.6032 3.7019 Nd
2.4665 3.9913 3.7019 In
2.4665 -3.9913 1.2340 In
```

x.
First-principles (PBE-GGA) data for a geometry-optimized PmNd3In structure, as listed in Alexandria.

The structure in POSCAR format:
```
PmNd3In
1.0
4.8146 2.7797 4.1645
-4.8146 2.7797 4.1645
0.0000 -5.5594 4.1645
Pm Nd In
2 6 2
Cartesian
0.0000 0.0000 0.0000 Pm
0.0000 0.0000 6.2468 Pm
-3.2062 0.0061 5.2056 Nd
-1.6084 -2.7736 7.2879 Nd
1.5978 -2.7797 5.2056 Nd
-1.5978 2.7797 7.2879 Nd
1.6084 2.7736 5.2057 Nd
3.2062 -0.0061 7.2879 Nd
0.0000 0.0000 3.1234 In
0.0000 0.0000 9.3702 In
```

Tell me which of them is the least stable. Sure, it is x.

w.
First-principles (PBE-GGA) data for a geometry-optimized Pm4Nd5In structure, as listed in Alexandria.

The structure in POSCAR format:
```
Pm4Nd5In
1.0
-5.3660 5.3660 3.0470
5.3660 -5.3660 3.0470
5.3660 5.3660 -3.0470
Pm Nd In
4 5 1
Cartesian
3.3548 0.0000 0.0000 Pm
7.3773 0.0000 0.0000 Pm
0.0000 3.3548 0.0000 Pm
0.0000 7.3773 0.0000 Pm
3.3570 3.3570 0.0385 Nd
2.0090 -2.0090 3.0856 Nd
-2.0090 2.0090 3.0856 Nd
2.0090 2.0090 3.0856 Nd
0.0000 0.0000 4.8096 Nd
0.0000 0.0000 1.6355 In
```

x.
First-principles (PBE-GGA) data for a geometry-optimized Pm4Nd5In structure, as listed in Alexandria.

The structure in POSCAR format:
```
Pm4Nd5In
1.0
4.2700 0.0000 0.0000
0.0000 4.2700 0.0000
0.0000 0.0000 18.3582
Pm Nd In
4 5 1
Cartesian
0.0000 0.0000 1.8645 Pm
0.0000 0.0000 5.5864 Pm
0.0000 0.0000 12.7717 Pm
0.0000 0.0000 16.4937 Pm
2.1350 2.1350 0.0000 Nd
2.1350 2.1350 3.7697 Nd
2.1350 2.1350 7.5578 Nd
2.1350 2.1350 10.8004 Nd
2.1350 2.1350 14.5885 Nd
0.0000 0.0000 9.1791 In
```

Tell me which of them is the least stable. Sure, it is w.

w.
First-principles (PBE-GGA) data for a geometry-optimized PmNd6In2 structure, as listed in Alexandria.

The structure in POSCAR format:
```
PmNd6In2
1.0
6.5885 -1.9407 0.0000
6.5885 1.9407 0.0000
-3.8341 0.0000 11.5655
Pm Nd In
1 6 2
Cartesian
0.0000 0.0000 0.0000 Pm
-1.1101 0.0000 3.9108 Nd
2.4831 0.0000 4.7769 Nd
3.6687 0.0000 1.4366 Nd
5.6742 0.0000 10.1289 Nd
6.8598 0.0000 6.7886 Nd
10.4530 0.0000 7.6547 Nd
1.6557 0.0000 9.1928 In
7.6872 0.0000 2.3727 In
```

x.
First-principles (PBE-GGA) data for a geometry-optimized PmNd6In2 structure, as listed in Alexandria.

The structure in POSCAR format:
```
PmNd6In2
1.0
8.8205 -4.7703 0.0000
8.8205 4.7703 0.0000
-0.6820 0.0000 3.4104
Pm Nd In
1 6 2
Cartesian
0.0000 0.0000 0.0000 Pm
5.5796 2.9751 1.1255 Nd
8.4795 1.5511 1.7052 Nd
11.3794 2.9751 2.2849 Nd
5.5796 -2.9751 1.1255 Nd
8.4795 -1.5511 1.7052 Nd
11.3794 -2.9751 2.2849 Nd
5.5419 0.0000 2.8937 In
11.4172 0.0000 0.5167 In
```

Tell me which of them is the least stable. Sure, it is x.

w.
First-principles (PBE-GGA) data for a geometry-optimized Pm3Nd6In structure, as listed in Alexandria.

The structure in POSCAR format:
```
Pm3Nd6In
1.0
12.5602 0.0000 0.0000
0.0000 3.6548 0.0000
-1.1029 0.0000 14.9796
Pm Nd In
6 12 2
Cartesian
0.3491 0.9137 4.5397 Pm
1.1904 0.9137 1.2269 Pm
4.4717 0.9137 12.2420 Pm
6.9856 2.7411 2.7377 Pm
10.2669 2.7411 13.7527 Pm
11.1083 2.7411 10.4399 Pm
0.8470 2.7411 7.5435 Nd
1.3870 2.7411 13.3208 Nd
1.8579 0.9137 10.2341 Nd
3.5463 2.7411 3.8074 Nd
4.7205 0.9137 0.6547 Nd
4.8707 2.7411 9.0640 Nd
6.5866 0.9137 5.9156 Nd
6.7368 2.7411 14.3249 Nd
7.9110 0.9137 11.1722 Nd
9.5994 2.7411 4.7455 Nd
10.0703 0.9137 1.6588 Nd
10.6104 0.9137 7.4361 Nd
3.3694 0.9137 6.6438 In
8.0880 2.7411 8.3359 In
```

x.
First-principles (PBE-GGA) data for a geometry-optimized Pm3Nd6In structure, as listed in Alexandria.

The structure in POSCAR format:
```
Pm3Nd6In
1.0
11.6654 0.0000 0.0000
0.0000 3.6386 0.0000
-5.6723 0.0000 16.0413
Pm Nd In
6 12 2
Cartesian
-1.3049 0.9096 7.4912 Pm
1.0920 2.7289 1.1878 Pm
3.1087 0.9096 3.5215 Pm
2.8845 2.7289 12.5198 Pm
4.9011 0.9096 14.8536 Pm
7.2980 2.7289 8.5501 Pm
-0.2962 0.9096 4.0736 Nd
-2.2878 0.9096 10.9932 Nd
-3.1174 0.9096 14.3815 Nd
0.6772 2.7289 9.9014 Nd
1.9671 2.7289 6.6011 Nd
4.5632 2.7289 0.7947 Nd
1.4300 0.9096 15.2467 Nd
4.0261 0.9096 9.4402 Nd
5.3160 0.9096 6.1399 Nd
9.1105 2.7289 1.6598 Nd
8.2809 2.7289 5.0481 Nd
6.2894 2.7289 11.9677 Nd
-0.4639 2.7289 13.1972 In
6.4570 0.9096 2.8442 In
```

Tell me which of them is the least stable. Sure, it is w.

w.
First-principles (PBE-GGA) data for a geometry-optimized PmNdInRu structure, as listed in Alexandria.

The structure in POSCAR format:
```
PmNdInRu
1.0
7.3734 0.0000 0.0000
0.0000 7.3734 0.0000
0.0000 0.0000 7.3734
Pm Nd In Ru
4 4 4 4
Cartesian
0.0000 0.0000 0.0000 Pm
0.0000 3.6867 3.6867 Pm
3.6867 0.0000 3.6867 Pm
3.6867 3.6867 0.0000 Pm
0.0000 0.0000 3.6867 Nd
0.0000 3.6867 0.0000 Nd
3.6867 0.0000 0.0000 Nd
3.6867 3.6867 3.6867 Nd
1.8433 1.8433 1.8433 In
1.8433 5.5300 5.5300 In
5.5300 1.8433 5.5300 In
5.5300 5.5300 1.8433 In
1.8433 1.8433 5.5300 Ru
1.8433 5.5300 1.8433 Ru
5.5300 1.8433 1.8433 Ru
5.5300 5.5300 5.5300 Ru
```

x.
First-principles (PBE-GGA) data for a geometry-optimized PmNdInRu structure, as listed in Alexandria.

The structure in POSCAR format:
```
PmNdInRu
1.0
3.4501 0.0000 0.0000
0.0000 3.4501 0.0000
0.0000 0.0000 8.6339
Pm Nd In Ru
1 1 1 1
Cartesian
0.0000 0.0000 0.0000 Pm
0.0000 0.0000 3.5019 Nd
1.7250 1.7250 6.0851 In
1.7250 1.7250 1.7314 Ru
```

Tell me which of them is the least stable. Sure, it is w.

w.
First-principles (PBE-GGA) data for a geometry-optimized PmNdSmIn structure, as listed in Alexandria.

The structure in POSCAR format:
```
PmNdSmIn
1.0
7.8981 0.0000 0.0000
0.0000 7.8981 0.0000
0.0000 0.0000 7.8981
Pm Nd Sm In
4 4 4 4
Cartesian
0.0000 0.0000 0.0000 Pm
0.0000 3.9491 3.9491 Pm
3.9491 0.0000 3.9491 Pm
3.9491 3.9491 0.0000 Pm
1.9745 1.9745 1.9745 Nd
1.9745 5.9236 5.9236 Nd
5.9236 1.9745 5.9236 Nd
5.9236 5.9236 1.9745 Nd
1.9745 1.9745 5.9236 Sm
1.9745 5.9236 1.9745 Sm
5.9236 1.9745 1.9745 Sm
5.9236 5.9236 5.9236 Sm
0.0000 0.0000 3.9491 In
0.0000 3.9491 0.0000 In
3.9491 0.0000 0.0000 In
3.9491 3.9491 3.9491 In
```

x.
First-principles (PBE-GGA) data for a geometry-optimized PmNdSmIn structure, as listed in Alexandria.

The structure in POSCAR format:
```
PmNdSmIn
1.0
4.8861 0.0000 0.0000
0.0000 4.8861 0.0000
0.0000 0.0000 10.1945
Pm Nd Sm In
2 2 2 2
Cartesian
0.0000 0.0000 0.0000 Pm
2.4431 2.4431 5.0973 Pm
0.0000 2.4431 7.6459 Nd
2.4431 0.0000 2.5486 Nd
0.0000 0.0000 5.0973 Sm
2.4431 2.4431 0.0000 Sm
0.0000 2.4431 2.5486 In
2.4431 0.0000 7.6459 In
```

Tell me which of them is the least stable. Sure, it is w.

w.
First-principles (PBE-GGA) data for a geometry-optimized PmNdYIn structure, as listed in Alexandria.

The structure in POSCAR format:
```
PmNdYIn
1.0
7.8510 0.0000 0.0000
0.0000 7.8510 0.0000
0.0000 0.0000 7.8510
Pm Nd Y In
4 4 4 4
Cartesian
0.0000 0.0000 0.0000 Pm
0.0000 3.9255 3.9255 Pm
3.9255 0.0000 3.9255 Pm
3.9255 3.9255 0.0000 Pm
1.9628 1.9628 1.9628 Nd
1.9628 5.8883 5.8883 Nd
5.8883 1.9628 5.8883 Nd
5.8883 5.8883 1.9628 Nd
0.0000 0.0000 3.9255 Y
0.0000 3.9255 0.0000 Y
3.9255 0.0000 0.0000 Y
3.9255 3.9255 3.9255 Y
1.9628 1.9628 5.8883 In
1.9628 5.8883 1.9628 In
5.8883 1.9628 1.9628 In
5.8883 5.8883 5.8883 In
```

x.
First-principles (PBE-GGA) data for a geometry-optimized PmNdYIn structure, as listed in Alexandria.

The structure in POSCAR format:
```
PmNdYIn
1.0
7.8734 0.0000 0.0000
0.0000 7.8734 0.0000
0.0000 0.0000 7.8734
Pm Nd Y In
4 4 4 4
Cartesian
0.0000 0.0000 0.0000 Pm
0.0000 3.9367 3.9367 Pm
3.9367 0.0000 3.9367 Pm
3.9367 3.9367 0.0000 Pm
0.0000 0.0000 3.9367 Nd
0.0000 3.9367 0.0000 Nd
3.9367 0.0000 0.0000 Nd
3.9367 3.9367 3.9367 Nd
1.9683 1.9683 1.9683 Y
1.9683 5.9050 5.9050 Y
5.9050 1.9683 5.9050 Y
5.9050 5.9050 1.9683 Y
1.9683 1.9683 5.9050 In
1.9683 5.9050 1.9683 In
5.9050 1.9683 1.9683 In
5.9050 5.9050 5.9050 In
```

Tell me which of them is the least stable. Sure, it is w.

w.
First-principles (PBE-GGA) data for a geometry-optimized PmNdZnIn structure, as listed in Alexandria.

The structure in POSCAR format:
```
PmNdZnIn
1.0
7.5807 0.0000 0.0000
0.0000 7.5807 0.0000
0.0000 0.0000 7.5807
Pm Nd Zn In
4 4 4 4
Cartesian
0.0000 0.0000 0.0000 Pm
0.0000 3.7904 3.7904 Pm
3.7904 0.0000 3.7904 Pm
3.7904 3.7904 0.0000 Pm
0.0000 0.0000 3.7904 Nd
0.0000 3.7904 0.0000 Nd
3.7904 0.0000 0.0000 Nd
3.7904 3.7904 3.7904 Nd
1.8952 1.8952 1.8952 Zn
1.8952 5.6855 5.6855 Zn
5.6855 1.8952 5.6855 Zn
5.6855 5.6855 1.8952 Zn
1.8952 1.8952 5.6855 In
1.8952 5.6855 1.8952 In
5.6855 1.8952 1.8952 In
5.6855 5.6855 5.6855 In
```

x.
First-principles (PBE-GGA) data for a geometry-optimized PmNdZnIn structure, as listed in Alexandria.

The structure in POSCAR format:
```
PmNdZnIn
1.0
3.7324 0.0000 0.0000
0.0000 3.7324 0.0000
0.0000 0.0000 7.7035
Pm Nd Zn In
1 1 1 1
Cartesian
0.0000 0.0000 0.0000 Pm
0.0000 0.0000 3.5533 Nd
1.8662 1.8662 1.7467 Zn
1.8662 1.8662 5.6488 In
```

Tell me which of them is the least stable. Sure, it is w.